[1]
Density functional theory data (PBE) for an optimized crystal structure of DyF3.

CIF file:
```
data_DyF3
_chemical_formula_sum 'Dy6 F18'
_cell_length_a 6.8314
_cell_length_b 6.8314
_cell_length_c 7.0073
_cell_angle_alpha 90.00
_cell_angle_beta 90.00
_cell_angle_gamma 120.00
_space_group_name_H-M_alt 'P -3 c 1'
_space_group_IT_number 165
_space_group_name_Hall '-P 3 2"c'
loop_
_atom_site_label
_atom_site_fract_x
_atom_site_fract_y
_atom_site_fract_z
_atom_site_occupancy
Dy1 0.0000 0.3462 0.2500 1
F1 0.0000 0.0000 0.2500 1
F2 0.0695 0.3752 0.9218 1
F3 0.3333 0.6667 0.1836 1
```

Total magnetization   0.000 μB per atom
DOS at the Fermi energy   0.00 states/eV per cell


[2]
Density functional theory data (PBE) for an optimized crystal structure of DyF3.

CIF file:
```
data_DyF3
_chemical_formula_sum 'Dy2 F6'
_cell_length_a 3.481
_cell_length_b 6.353
_cell_length_c 4.780
_cell_angle_alpha 90.00
_cell_angle_beta 90.00
_cell_angle_gamma 90.00
_space_group_name_H-M_alt 'I m m 2'
_space_group_IT_number 44
_space_group_name_Hall 'I 2 -2'
loop_
_atom_site_label
_atom_site_fract_x
_atom_site_fract_y
_atom_site_fract_z
_atom_site_occupancy
Dy1 0.000 0.000 0.000 1
F1 0.000 0.301 0.290 1
F2 0.000 0.500 0.774 1
```

Total magnetization   0.000 μB per atom
DOS at the Fermi energy   0.00 states/eV per cell


Number 1: final energy -6.668 eV/atom, formation energy from raw total energies -4114 meV/atom, V 283.2 Å³ per cell. Number 2: final energy -6.572 eV/atom, formation energy from raw total energies -4018 meV/atom, V 105.7 Å³ per cell.